{"formula": "Sc2CdMo", "functional": "PBE-GGA", "state": "optimized geometry", "delta_e_f_ev_per_atom": 0.066, "space_group": "I-4m2", "mass_density_g_cm3": 6.2, "final_energy_ev_per_atom": -6.04, "lattice": [[-2.868, -4.007, -2.268], [1.947, -4.959, 1.022], [-1.226, 4.320, 3.044]], "species": ["Cd", "Mo", "Sc", "Sc"], "frac_coords": [[0.500, 0.500, 0.000], [0.750, 0.250, 0.500], [0.000, 0.000, 0.000], [0.250, 0.750, 0.500]]}



{"formula": "Sc2CdMo", "functional": "PBE-GGA", "state": "optimized geometry", "delta_e_f_ev_per_atom": 0.153, "space_group": "P4mm", "mass_density_g_cm3": 6.1, "final_energy_ev_per_atom": -5.95, "lattice": [[-2.183, 0.972, 2.747], [-0.454, -3.504, 0.880], [4.877, 0.313, 3.764]], "species": ["Cd", "Mo", "Sc", "Sc"], "frac_coords": [[0.000, 0.000, 0.505], [0.500, 0.500, 0.780], [0.000, 0.000, 0.962], [0.500, 0.500, 0.253]]}



{"formula": "ScCd2Mo", "functional": "PBE-GGA", "state": "optimized geometry", "delta_e_f_ev_per_atom": 0.098, "relative_energy_mev_per_atom": 0, "space_group": "Cmm2", "mass_density_g_cm3": 7.7, "final_energy_ev_per_atom": -4.65, "lattice": [[2.930, -0.001, 0.000], [-0.589, 2.870, 0.000], [0.000, 0.000, 9.415]], "species": ["Cd", "Cd", "Mo", "Sc"], "frac_coords": [[0.000, 0.000, 0.999], [0.500, 0.500, 0.263], [0.000, 0.000, 0.505], [0.500, 0.500, 0.733]]}



{"formula": "ScCd2Mo", "functional": "PBE-GGA", "state": "optimized geometry", "delta_e_f_ev_per_atom": 0.321, "relative_energy_mev_per_atom": 223, "space_group": "R-3m", "mass_density_g_cm3": 7.6, "final_energy_ev_per_atom": -4.43, "lattice": [[10.322, -0.010, -0.006], [9.888, 2.962, -0.006], [9.888, 1.445, 2.586]], "species": ["Cd", "Cd", "Mo", "Sc"], "frac_coords": [[0.996, 0.996, 0.996], [0.504, 0.504, 0.504], [0.250, 0.250, 0.250], [0.750, 0.750, 0.750]]}



{"formula": "Sc2CdMo", "functional": "PBE-GGA", "state": "optimized geometry", "delta_e_f_ev_per_atom": 0.053, "space_group": "Cmmm", "mass_density_g_cm3": 6.2, "final_energy_ev_per_atom": -6.05, "lattice": [[-2.378, -7.372, 0.282], [2.891, 2.589, 3.208], [-2.045, -0.603, 2.331]], "species": ["Cd", "Mo", "Sc", "Sc"], "frac_coords": [[0.000, 0.500, 0.500], [0.500, 0.500, 0.000], [0.000, 0.000, 0.000], [0.500, 0.000, 0.500]]}



{"formula": "Sc2CdMo", "functional": "PBE-GGA", "state": "optimized geometry", "delta_e_f_ev_per_atom": 0.284, "space_group": "R-3m", "mass_density_g_cm3": 5.4, "final_energy_ev_per_atom": -5.82, "lattice": [[1.856, 0.000, 10.224], [-0.928, 1.607, 10.224], [-0.928, -1.607, 10.224]], "species": ["Sc", "Sc", "Mo", "Cd"], "frac_coords": [[0.899, 0.899, 0.899], [0.101, 0.101, 0.101], [0.500, 0.500, 0.500], [0.000, 0.000, 0.000]]}